# HoAlAg2Se4 PBE-GGA relaxed
# - E_tot (eV for the cell shown) = -137.06
# - energy relative to the elements, uncorrected (meV/atom) = -788
# - calculated volume (Å³/cell) = 725.3
data_HoAlAg2Se4
_cell_length_a 7.6400
_cell_length_b 8.4728
_cell_length_c 11.2052
_cell_angle_alpha 90.00
_cell_angle_beta 90.00
_cell_angle_gamma 90.00
_symmetry_space_group_name_H-M 'I m m a'
_symmetry_Int_Tables_number 74
_symmetry_space_group_name_Hall '-I 2b 2'
loop_
_atom_site_label
_atom_site_type_symbol
_atom_site_fract_x
_atom_site_fract_y
_atom_site_fract_z
Ho1 Ho 0.0000 0.0000 0.0000
Al1 Al 0.2500 0.2500 0.2500
Ag1 Ag 0.0000 0.0000 0.5000
Ag2 Ag 0.2500 0.2500 0.7500
Se1 Se 0.0000 0.0446 0.2524
Se2 Se 0.2499 0.2500 0.5054

***

# Ho3AlAg3Se8 PBE-GGA relaxed
# - E_tot (eV for the cell shown) = -138.63
# - energy relative to the elements, uncorrected (meV/atom) = -1027
# - calculated volume (Å³/cell) = 746.1
data_Ho3AlAg3Se8
_cell_length_a 13.7638
_cell_length_b 8.1573
_cell_length_c 8.0204
_cell_angle_alpha 90.00
_cell_angle_beta 124.05
_cell_angle_gamma 90.00
_symmetry_space_group_name_H-M 'C 1 2/m 1'
_symmetry_Int_Tables_number 12
_symmetry_space_group_name_Hall '-C 2y'
loop_
_atom_site_label
_atom_site_type_symbol
_atom_site_fract_x
_atom_site_fract_y
_atom_site_fract_z
Ho1 Ho 0.0000 0.0000 0.0000
Ho2 Ho 0.2500 0.2500 0.5000
Al1 Al 0.0000 0.5000 0.0000
Ag1 Ag 0.0000 0.5000 0.5000
Ag2 Ag 0.2500 0.2500 0.0000
Se1 Se 0.0014 0.2717 0.7714
Se2 Se 0.2296 0.5000 0.2280
Se3 Se 0.2474 0.0000 0.2538

***

# TbHoAlAg PBE-GGA relaxed
# - E_tot (eV for the cell shown) = -17.25
# - calculated volume (Å³/cell) = 95.2
# - ΔE to the lowest computed polymorph (eV per formula unit) = 0.00
# - ΔE_f (eV per atom) = -0.36
data_TbHoAlAg
_cell_length_a 3.5491
_cell_length_b 3.5491
_cell_length_c 7.5603
_cell_angle_alpha 90.00
_cell_angle_beta 90.00
_cell_angle_gamma 90.00
_symmetry_space_group_name_H-M 'P 4 m m'
_symmetry_Int_Tables_number 99
_symmetry_space_group_name_Hall 'P 4 -2'
loop_
_atom_site_label
_atom_site_type_symbol
_atom_site_fract_x
_atom_site_fract_y
_atom_site_fract_z
Tb1 Tb 0.0000 0.0000 0.0000
Ho1 Ho 0.0000 0.0000 0.5002
Al1 Al 0.5000 0.5000 0.7478
Ag1 Ag 0.5000 0.5000 0.2578

***

# TbHoAlAg PBE-GGA relaxed
# - E_tot (eV for the cell shown) = -68.65
# - calculated volume (Å³/cell) = 387.4
# - ΔE to the lowest computed polymorph (eV per formula unit) = 0.08
# - ΔE_f (eV per atom) = -0.34
data_TbHoAlAg
_cell_length_a 7.2899
_cell_length_b 7.2899
_cell_length_c 7.2899
_cell_angle_alpha 90.00
_cell_angle_beta 90.00
_cell_angle_gamma 90.00
_symmetry_space_group_name_H-M 'F -4 3 m'
_symmetry_Int_Tables_number 216
_symmetry_space_group_name_Hall 'F -4 2 3'
loop_
_atom_site_label
_atom_site_type_symbol
_atom_site_fract_x
_atom_site_fract_y
_atom_site_fract_z
Tb1 Tb 0.0000 0.0000 0.0000
Ho1 Ho 0.0000 0.0000 0.5000
Al1 Al 0.2500 0.2500 0.7500
Ag1 Ag 0.2500 0.2500 0.2500